No. 1
Compound: ScTlN2
Source: Alexandria
Functional: GGA-PBE
Structure: optimized geometry

Properties
The space-group type is R-3m, No. 166. Its formation energy without anion corrections is 0.78 eV per atom.

a = 6.702 Å, b = 6.702 Å, c = 6.702 Å
α = 31.02°, β = 31.02°, γ = 31.02°
Fractional coordinates of all 4 atoms:
Sc: 0.000 0.000 0.000
Tl: 0.500 0.500 0.500
N: 0.104 0.104 0.104
N: 0.896 0.896 0.896



No. 2
Compound: CrAgTe2
Source: Alexandria
Functional: GGA-PBE
Structure: optimized geometry

Properties
The space-group type is Amm2, No. 38. Its formation energy without anion corrections is 0.01 eV per atom.

a = 5.158 Å, b = 4.559 Å, c = 4.559 Å
α = 74.28°, β = 90.00°, γ = 90.00°
Fractional coordinates of all 4 atoms:
Cr: 0.000 0.000 0.000
Ag: 0.500 0.774 0.774
Te: 0.000 0.612 0.612
Te: 0.500 0.157 0.157



No. 3
Compound: CaTa2Mn
Source: Alexandria
Functional: GGA-PBE
Structure: optimized geometry

Properties
The space-group type is Cmm2, No. 35. The energy of formation from the pure elements comes out at 0.47 eV per atom.

a = 2.912 Å, b = 2.912 Å, c = 9.628 Å
α = 90.00°, β = 90.00°, γ = 103.49°
Fractional coordinates of all 4 atoms:
Ca: 0.000 0.000 0.000
Ta: 0.000 0.000 0.474
Ta: 0.500 0.500 0.704
Mn: 0.500 0.500 0.267



No. 4
Compound: Pr7Tm5
Source: Alexandria
Functional: GGA-PBE
Structure: optimized geometry

Properties
The space-group type is C2/m, No. 12. The energy of formation from the pure elements comes out at 0.01 eV per atom.

a = 9.577 Å, b = 9.577 Å, c = 13.286 Å
α = 117.47°, β = 117.47°, γ = 21.99°
Fractional coordinates of all 12 atoms:
Pr: 0.000 0.000 0.000
Pr: 0.139 0.139 0.752
Pr: 0.168 0.168 0.505
Pr: 0.471 0.471 0.750
Pr: 0.529 0.529 0.250
Pr: 0.832 0.832 0.495
Pr: 0.861 0.861 0.248
Tm: 0.194 0.194 0.246
Tm: 0.331 0.331 0.997
Tm: 0.500 0.500 0.500
Tm: 0.669 0.669 0.003
Tm: 0.806 0.806 0.754



No. 5
Compound: Nd7Sm6Ho16
Source: Alexandria
Functional: GGA-PBE
Structure: optimized geometry

Properties
The space-group type is Fm-3m, No. 225. The energy of formation from the pure elements comes out at 0.24 eV per atom.

a = 11.241 Å, b = 11.241 Å, c = 11.241 Å
α = 60.00°, β = 60.00°, γ = 60.00°
Fractional coordinates of all 29 atoms:
Nd: 0.000 0.000 0.000
Nd: 0.000 0.000 0.500
Nd: 0.000 0.500 0.000
Nd: 0.000 0.500 0.500
Nd: 0.500 0.000 0.000
Nd: 0.500 0.000 0.500
Nd: 0.500 0.500 0.000
Sm: 0.262 0.262 0.738
Sm: 0.262 0.738 0.262
Sm: 0.262 0.738 0.738
Sm: 0.738 0.262 0.262
Sm: 0.738 0.262 0.738
Sm: 0.738 0.738 0.262
Ho: 0.049 0.650 0.650
Ho: 0.129 0.129 0.129
Ho: 0.129 0.129 0.613
Ho: 0.129 0.613 0.129
Ho: 0.350 0.350 0.350
Ho: 0.350 0.350 0.951
Ho: 0.350 0.951 0.350
Ho: 0.387 0.871 0.871
Ho: 0.613 0.129 0.129
Ho: 0.650 0.049 0.650
Ho: 0.650 0.650 0.049
Ho: 0.650 0.650 0.650
Ho: 0.871 0.387 0.871
Ho: 0.871 0.871 0.387
Ho: 0.871 0.871 0.871
Ho: 0.951 0.350 0.350



No. 6
Compound: CuNiH3Rh
Source: Alexandria
Functional: GGA-PBE
Structure: optimized geometry

Properties
The final energy is -4.493 eV per atom. The space-group type is P2_1/m, No. 11.

a = 5.322 Å, b = 2.819 Å, c = 6.454 Å
α = 90.00°, β = 102.14°, γ = 90.00°
Fractional coordinates of all 12 atoms:
Cu: 0.091 0.250 0.345
Cu: 0.909 0.750 0.655
Ni: 0.199 0.250 0.963
Ni: 0.801 0.750 0.037
H: 0.132 0.750 0.079
H: 0.205 0.250 0.705
H: 0.388 0.750 0.375
H: 0.612 0.250 0.625
H: 0.795 0.750 0.295
H: 0.868 0.250 0.921
Rh: 0.410 0.750 0.669
Rh: 0.590 0.250 0.331



No. 7
Compound: PmZnNi
Source: Alexandria
Functional: GGA-PBE
Structure: optimized geometry

Properties
The space-group type is Pmma, No. 51. The energy of formation from the pure elements comes out at -0.39 eV per atom.

a = 12.529 Å, b = 3.875 Å, c = 7.129 Å
α = 90.00°, β = 90.00°, γ = 90.00°
Fractional coordinates of all 18 atoms:
Pm: 0.042 0.000 0.245
Pm: 0.250 0.000 0.627
Pm: 0.458 0.000 0.245
Pm: 0.542 0.000 0.755
Pm: 0.750 0.000 0.373
Pm: 0.958 0.000 0.755
Zn: 0.137 0.500 0.920
Zn: 0.250 0.500 0.281
Zn: 0.363 0.500 0.920
Zn: 0.637 0.500 0.080
Zn: 0.750 0.500 0.719
Zn: 0.863 0.500 0.080
Ni: 0.092 0.500 0.549
Ni: 0.250 0.000 0.050
Ni: 0.408 0.500 0.549
Ni: 0.592 0.500 0.451
Ni: 0.750 0.000 0.950
Ni: 0.908 0.500 0.451



No. 8
Compound: LiGe2BiSe6
Source: Alexandria
Functional: GGA-PBE
Structure: optimized geometry

Properties
The space-group type is C2/c, No. 15. Its formation energy without anion corrections is -0.39 eV per atom.

a = 9.104 Å, b = 9.104 Å, c = 6.783 Å
α = 99.47°, β = 99.47°, γ = 86.61°
Fractional coordinates of all 20 atoms:
Li: 0.216 0.784 0.750
Li: 0.784 0.216 0.250
Ge: 0.117 0.283 0.777
Ge: 0.283 0.117 0.277
Ge: 0.717 0.883 0.723
Ge: 0.883 0.717 0.223
Bi: 0.380 0.620 0.250
Bi: 0.620 0.380 0.750
Se: 0.060 0.211 0.082
Se: 0.105 0.623 0.405
Se: 0.211 0.060 0.582
Se: 0.296 0.477 0.825
Se: 0.377 0.895 0.095
Se: 0.477 0.296 0.325
Se: 0.523 0.704 0.675
Se: 0.623 0.105 0.905
Se: 0.704 0.523 0.175
Se: 0.789 0.940 0.418
Se: 0.895 0.377 0.595
Se: 0.940 0.789 0.918